[1]
A relaxed structure of CsMo, computed with GGA-PBE.

Computed properties:
Its crystal system is orthorhombic. For the formation energy, the calculation gives 2185 meV/atom. The calculation puts the total moment at 0.00 μB/f.u. As for the energy above the most stable polymorph in this dataset: 1176 meV/atom.

abc: 3.137 3.137 6.114
angles: 90.00 90.00 119.03
Sites, in units of the cell vectors:
1 Cs 0.000 0.000 0.000
2 Mo 0.000 0.000 0.500


[2]
A relaxed structure of CsMo, computed with GGA-PBE.

Computed properties:
Its crystal system is hexagonal. For the formation energy, the calculation gives 1387 meV/atom. The calculation puts the total moment at 0.25 μB/f.u. As for the energy above the most stable polymorph in this dataset: 378 meV/atom.

abc: 15.530 15.530 3.353
angles: 90.00 90.00 120.00
Sites, in units of the cell vectors:
1 Cs 0.181 0.427 0.250
2 Cs 0.245 0.819 0.250
3 Cs 0.427 0.245 0.750
4 Cs 0.573 0.755 0.250
5 Cs 0.755 0.181 0.750
6 Cs 0.819 0.573 0.750
7 Mo 0.038 0.559 0.250
8 Mo 0.441 0.479 0.250
9 Mo 0.479 0.038 0.750
10 Mo 0.521 0.962 0.250
11 Mo 0.559 0.521 0.750
12 Mo 0.962 0.441 0.750


[3]
A relaxed structure of CsMo, computed with GGA-PBE.

Computed properties:
Its crystal system is hexagonal. For the formation energy, the calculation gives 2199 meV/atom. The calculation puts the total moment at 0.92 μB/f.u. As for the energy above the most stable polymorph in this dataset: 1190 meV/atom.

abc: 3.161 3.161 12.806
angles: 90.00 90.00 120.00
Sites, in units of the cell vectors:
1 Cs 0.333 0.667 0.000
2 Cs 0.667 0.333 0.500
3 Mo 0.333 0.667 0.253
4 Mo 0.667 0.333 0.753


[4]
A relaxed structure of CsMo, computed with GGA-PBE.

Computed properties:
Its crystal system is tetragonal. For the formation energy, the calculation gives 1380 meV/atom. The calculation puts the total moment at 0.18 μB/f.u. As for the energy above the most stable polymorph in this dataset: 371 meV/atom.

abc: 11.492 11.492 11.492
angles: 91.22 91.22 163.23
Sites, in units of the cell vectors:
1 Cs 0.030 0.745 0.775
2 Cs 0.255 0.030 0.285
3 Cs 0.745 0.970 0.715
4 Cs 0.970 0.255 0.225
5 Mo 0.200 0.253 0.453
6 Mo 0.253 0.800 0.053
7 Mo 0.747 0.200 0.947
8 Mo 0.800 0.747 0.547


[5]
A relaxed structure of CsMo, computed with GGA-PBE.

Computed properties:
Its crystal system is tetragonal. For the formation energy, the calculation gives 1665 meV/atom. The calculation puts the total moment at 0.51 μB/f.u. As for the energy above the most stable polymorph in this dataset: 657 meV/atom.

abc: 11.746 11.746 3.424
angles: 90.00 90.00 90.00
Sites, in units of the cell vectors:
1 Cs 0.217 0.217 0.000
2 Cs 0.283 0.717 0.500
3 Cs 0.717 0.283 0.500
4 Cs 0.783 0.783 0.000
5 Mo 0.061 0.939 0.000
6 Mo 0.439 0.439 0.500
7 Mo 0.561 0.561 0.500
8 Mo 0.939 0.061 0.000


[6]
A relaxed structure of CsMo, computed with GGA-PBE.

Computed properties:
Its crystal system is cubic. For the formation energy, the calculation gives 2512 meV/atom. The calculation puts the total moment at 5.07 μB/f.u. As for the energy above the most stable polymorph in this dataset: 1503 meV/atom.

abc: 5.696 5.696 5.696
angles: 60.00 60.00 60.00
Sites, in units of the cell vectors:
1 Cs 0.000 0.000 0.000
2 Mo 0.500 0.500 0.500


[7]
A relaxed structure of Cs2MoN, computed with GGA-PBE.

Computed properties:
Its crystal system is cubic. For the energy relative to the elements, uncorrected, the calculation gives 2.333 eV/atom. The calculation puts the total moment at 4.90 μB/f.u.

abc: 5.115 5.115 5.115
angles: 60.00 60.00 60.00
Sites, in units of the cell vectors:
1 Cs 0.250 0.250 0.250
2 Cs 0.750 0.750 0.750
3 Mo 0.000 0.000 0.000
4 N 0.500 0.500 0.500


[8]
A relaxed structure of CsNdMoN3, computed with GGA-PBE.

Computed properties:
Its crystal system is monoclinic. For the energy relative to the elements, uncorrected, the calculation gives -0.461 eV/atom. The calculation puts the total moment at 0.00 μB/f.u.

abc: 7.270 7.270 8.790
angles: 103.83 103.83 31.50
Sites, in units of the cell vectors:
1 Cs 0.142 0.142 0.069
2 Cs 0.858 0.858 0.931
3 Nd 0.162 0.162 0.584
4 Nd 0.838 0.838 0.416
5 Mo 0.491 0.491 0.660
6 Mo 0.509 0.509 0.340
7 N 0.014 0.014 0.360
8 N 0.343 0.343 0.625
9 N 0.374 0.374 0.233
10 N 0.626 0.626 0.767
11 N 0.657 0.657 0.375
12 N 0.986 0.986 0.640


[9]
A relaxed structure of CsNd2Mo2N6, computed with GGA-PBE.

Computed properties:
Its crystal system is triclinic. For the energy relative to the elements, uncorrected, the calculation gives -0.486 eV/atom. The calculation puts the total moment at 1.02 μB/f.u.

abc: 6.861 6.869 7.194
angles: 117.64 90.05 119.90
Sites, in units of the cell vectors:
1 Cs 0.000 0.000 0.000
2 Nd 0.324 0.647 0.709
3 Nd 0.676 0.353 0.291
4 Mo 0.378 0.757 0.308
5 Mo 0.622 0.243 0.692
6 N 0.092 0.612 0.358
7 N 0.423 0.847 0.099
8 N 0.481 0.389 0.643
9 N 0.519 0.611 0.357
10 N 0.577 0.153 0.901
11 N 0.908 0.388 0.642


[10]
A relaxed structure of Cs3Pa3MoN8, computed with GGA-PBE.

Computed properties:
Its crystal system is trigonal. For the energy relative to the elements, uncorrected, the calculation gives -0.878 eV/atom. The calculation puts the total moment at 0.00 μB/f.u.

abc: 8.172 8.172 8.172
angles: 50.43 50.43 50.43
Sites, in units of the cell vectors:
1 Cs 0.000 0.500 0.500
2 Cs 0.500 0.000 0.500
3 Cs 0.500 0.500 0.000
4 Pa 0.000 0.000 0.500
5 Pa 0.000 0.500 0.000
6 Pa 0.500 0.000 0.000
7 Mo 0.500 0.500 0.500
8 N 0.215 0.215 0.215
9 N 0.238 0.702 0.702
10 N 0.298 0.298 0.762
11 N 0.298 0.762 0.298
12 N 0.702 0.238 0.702
13 N 0.702 0.702 0.238
14 N 0.762 0.298 0.298
15 N 0.785 0.785 0.785


[11]
A relaxed structure of CsPaMo2N6, computed with GGA-PBE.

Computed properties:
Its crystal system is monoclinic. For the energy relative to the elements, uncorrected, the calculation gives -0.560 eV/atom. The calculation puts the total moment at 0.00 μB/f.u.

abc: 7.816 7.816 6.562
angles: 100.57 100.57 94.30
Sites, in units of the cell vectors:
1 Cs 0.099 0.901 0.750
2 Cs 0.901 0.099 0.250
3 Pa 0.304 0.696 0.250
4 Pa 0.696 0.304 0.750
5 Mo 0.219 0.371 0.855
6 Mo 0.371 0.219 0.355
7 Mo 0.629 0.781 0.645
8 Mo 0.781 0.629 0.145
9 N 0.010 0.698 0.253
10 N 0.250 0.608 0.913
11 N 0.279 0.368 0.158
12 N 0.302 0.990 0.247
13 N 0.368 0.279 0.658
14 N 0.392 0.750 0.587
15 N 0.608 0.250 0.413
16 N 0.632 0.721 0.342
17 N 0.698 0.010 0.753
18 N 0.721 0.632 0.842
19 N 0.750 0.392 0.087
20 N 0.990 0.302 0.747


[12]
A relaxed structure of CsPrMoN3, computed with GGA-PBE.

Computed properties:
Its crystal system is monoclinic. For the energy relative to the elements, uncorrected, the calculation gives -0.447 eV/atom. The calculation puts the total moment at 0.00 μB/f.u.

abc: 7.314 7.314 8.807
angles: 103.92 103.92 31.39
Sites, in units of the cell vectors:
1 Cs 0.142 0.142 0.069
2 Cs 0.858 0.858 0.931
3 Pr 0.162 0.162 0.587
4 Pr 0.838 0.838 0.413
5 Mo 0.490 0.490 0.660
6 Mo 0.510 0.510 0.340
7 N 0.014 0.014 0.360
8 N 0.344 0.344 0.627
9 N 0.375 0.375 0.232
10 N 0.625 0.625 0.768
11 N 0.656 0.656 0.373
12 N 0.986 0.986 0.640